Density functional theory data (PBE-GGA) for TlCd2CoH after structural relaxation.

abc: 4.1611 4.1611 4.9709
angles: 90.00 90.00 90.00
Last column: nearest neighbours and their distance in Å.
Fractional coordinates of all 5 atoms:
Tl (0.0000, 0.0000, 0.0000)  2 H 2.49
Cd (0.0000, 0.5000, 0.5000)  2 H 2.08
Cd (0.5000, 0.0000, 0.5000)  2 H 2.08
Co (0.5000, 0.5000, 0.0000)  4 Tl 2.94, 8 Cd 3.24
H (0.0000, 0.0000, 0.5000)  4 Cd 2.08

## Properties
Total DFT energy (no corrections)   -2.34 eV/atom
D(E_F)   8.49 states/eV per cell

***

Density functional theory data (PBE-GGA) for Pm2Nd4Y2Tm after structural relaxation.

abc: 9.6540 9.6540 9.7367
angles: 115.12 115.12 21.91
Last column: nearest neighbours and their distance in Å.
Fractional coordinates of all 9 atoms:
Pm (0.1654, 0.1654, 0.4991)  3 Nd 3.58-3.60, 3 Y 3.59-3.62, 2 Tm 3.64, 4 Pm 3.67-3.69
Pm (0.8346, 0.8346, 0.5009)  3 Nd 3.58-3.60, 3 Y 3.59-3.62, 2 Tm 3.64, 4 Pm 3.67-3.69
Nd (0.0182, 0.0182, 0.8317)  1 Pm 3.58, 2 Tm 3.60, 5 Nd 3.63-3.67, 4 Y 3.63-3.64
Nd (0.3146, 0.3146, 0.1677)  2 Pm 3.60, 1 Tm 3.60, 6 Nd 3.62-3.67, 3 Y 3.64-3.66
Nd (0.6854, 0.6854, 0.8323)  2 Pm 3.60, 1 Tm 3.60, 6 Nd 3.62-3.67, 3 Y 3.64-3.66
Nd (0.9818, 0.9818, 0.1683)  1 Pm 3.58, 2 Tm 3.60, 5 Nd 3.63-3.67, 4 Y 3.63-3.64
Y (0.3523, 0.3523, 0.8317)  3 Pm 3.59-3.62, 7 Nd 3.63-3.66, 2 Y 3.67
Y (0.6477, 0.6477, 0.1683)  3 Pm 3.59-3.62, 7 Nd 3.63-3.66, 2 Y 3.67
Tm (0.5000, 0.5000, 0.5000)  6 Nd 3.60, 4 Pm 3.64, 2 Tm 3.67

## Properties
Total DFT energy (no corrections)   -5.10 eV/atom
D(E_F)   11.89 states/eV per cell

***

Density functional theory data (PBE-GGA) for LiCa2SbO after structural relaxation.

abc: 4.7929 4.7929 4.3896
angles: 90.00 90.00 90.00
Last column: nearest neighbours and their distance in Å.
Fractional coordinates of all 5 atoms:
Li (0.0000, 0.0000, 0.0000)  2 O 2.19
Ca (0.0000, 0.5000, 0.5000)  2 O 2.40
Ca (0.5000, 0.0000, 0.5000)  2 O 2.40
Sb (0.5000, 0.5000, 0.0000)  8 Ca 3.25, 4 Li 3.39
O (0.0000, 0.0000, 0.5000)  2 Li 2.19, 4 Ca 2.40

## Properties
Uncorrected formation energy   -1703 meV per atom
D(E_F)   0.02 states/eV per cell

***

Density functional theory data (PBE-GGA) for Re2PRh after structural relaxation.

abc: 2.7761 2.7761 8.3162
angles: 90.00 90.00 115.64
Last column: nearest neighbours and their distance in Å.
Fractional coordinates of all 4 atoms:
Re (0.0000, 0.0000, 0.0000)  2 P 2.42, 2 Re 2.68
Re (0.5000, 0.5000, 0.2687)  8 Re 2.68-2.96, 2 Rh 2.75
P (0.5000, 0.5000, 0.7690)  2 Rh 2.36, 2 Re 2.42
Rh (0.0000, 0.0000, 0.5482)  2 P 2.36

## Properties
Total DFT energy (no corrections)   -9.12 eV/atom
D(E_F)   4.28 states/eV per cell

***

Please write out number 1 again, unchanged.
Density functional theory data (PBE-GGA) for TlCd2CoH after structural relaxation.

abc: 4.1611 4.1611 4.9709
angles: 90.00 90.00 90.00
Last column: nearest neighbours and their distance in Å.
Fractional coordinates of all 5 atoms:
Tl (0.0000, 0.0000, 0.0000)  2 H 2.49
Cd (0.0000, 0.5000, 0.5000)  2 H 2.08
Cd (0.5000, 0.0000, 0.5000)  2 H 2.08
Co (0.5000, 0.5000, 0.0000)  4 Tl 2.94, 8 Cd 3.24
H (0.0000, 0.0000, 0.5000)  4 Cd 2.08

## Properties
Total DFT energy (no corrections)   -2.34 eV/atom
D(E_F)   8.49 states/eV per cell